VASP calculation (PBE-GGA) on a geometry-optimized Sr2ZrSc structure.

Output
ΔE to the lowest computed polymorph, meV per atom: 263
DFT formation energy, eV per atom: 0.540
Spin magnetization, μB per formula unit: 0.8

a b c (Å): 3.5557 3.5557 36.2814
angles (deg): 90.00 90.00 120.00
Last column: nearest neighbours and their distance in Å.
Space group R-3m (No. 166, hexagonal axes)
Asymmetric unit:
Sr: 0.0000 0.0000 0.2475  6 Sr 3.56, 3 Zr 3.58, 3 Sc 3.73
Zr: 0.0000 0.0000 0.5000  6 Zr 3.56, 6 Sr 3.58
Sc: 0.0000 0.0000 0.0000  6 Sc 3.56, 6 Sr 3.73

VASP calculation (PBE-GGA) on a geometry-optimized PdSeNO2 structure.

Output
Uncorrected formation energy, kcal/mol of atoms: 22.11
Spin magnetization, μB per formula unit: 0.0

a b c (Å): 3.9750 3.9750 3.9290
angles (deg): 90.00 90.00 90.00
Last column: nearest neighbours and their distance in Å.
Space group P4/mmm (No. 123)
Asymmetric unit:
Pd: 0.0000 0.0000 0.0000  2 N 1.96, 4 O 1.99
Se: 0.5000 0.5000 0.5000  8 O 2.79, 4 N 2.81
N: 0.0000 0.0000 0.5000  2 Pd 1.96
O: 0.0000 0.5000 0.0000  2 Pd 1.99

VASP calculation (PBE-GGA) on a geometry-optimized MgCd2Fe structure.

Output
DFT formation energy, eV per atom: 0.167
Spin magnetization, μB per formula unit: 2.3

a b c (Å): 4.2259 4.2259 4.0609
angles (deg): 90.00 90.00 90.00
Last column: nearest neighbours and their distance in Å.
Space group P4/mmm (No. 123)
Asymmetric unit:
Mg: 0.0000 0.0000 0.0000  8 Cd 2.93, 4 Fe 2.99
Cd: 0.0000 0.5000 0.5000  4 Fe 2.93, 4 Mg 2.93, 4 Cd 2.99
Fe: 0.5000 0.5000 0.0000  8 Cd 2.93, 4 Mg 2.99

Final energy: -4.02, -4.42, -2.81 (eV/atom)
Density of states at the Fermi level: 7.39, 2.40, 2.37 (states/eV/f.u.)